(1)
Pu2Ge3Pd2 | PBE | relaxed

abc: 4.254 7.135 9.397
angles: 90.00 103.08 90.00
Each line ends with the local moment (μB).
Sites, in units of the cell vectors:
Ge 0.221 0.750 0.443  0.00
Pu 0.947 0.250 0.894  5.27
Ge 0.779 0.250 0.557  0.00
Pd 0.696 0.950 0.391  0.00
Pd 0.696 0.550 0.391  0.00
Ge 0.437 0.933 0.875  -0.04
Ge 0.563 0.067 0.125  -0.04
Pu 0.153 0.250 0.307  5.08
Pu 0.053 0.750 0.106  5.27
Ge 0.437 0.567 0.875  -0.04
Pd 0.304 0.450 0.609  0.00
Ge 0.563 0.433 0.125  -0.04
Pu 0.847 0.750 0.693  5.08
Pd 0.304 0.050 0.609  0.00

Values from the calculation:
ΔH_f (0 K), eV/atom: -0.574
ΔE to the lowest computed polymorph, eV/atom: 0.000
D(E_F), states/eV per atom: 3.14
Raw total energy, Ry per atom: -0.598
Crystal system: orthorhombic
SG: Cmcm, No. 63

***

(2)
PuP3 | PBE | relaxed

abc: 4.014 4.014 4.014
angles: 90.00 90.00 90.00
Each line ends with the local moment (μB).
Sites, in units of the cell vectors:
P 0.000 0.500 0.583  -0.08
P 0.000 0.000 0.083  -0.08
Pu 0.500 0.000 0.584  4.47
P 0.500 0.500 0.083  -0.08

Values from the calculation:
ΔH_f (0 K), eV/atom: -0.423
D(E_F), states/eV per atom: 1.14
Raw total energy, Ry per atom: -0.593
Crystal system: cubic
SG: Pm-3m, No. 221

***

(3)
BC3 | PBE | relaxed

abc: 4.505 4.519 5.171
angles: 106.60 106.70 49.09
Sites, in units of the cell vectors:
C 0.913 0.428 0.083
C 0.681 0.651 0.332
C 0.332 0.339 0.677
B 0.069 0.986 0.516
C 0.908 0.431 0.587
C 0.269 0.728 0.245
B 0.509 0.098 0.401
C 0.328 0.339 0.157
C 0.665 0.674 0.835
C 0.268 0.728 0.753
B 0.989 0.010 0.999
C 0.570 0.088 0.915

Values from the calculation:
ΔH_f (0 K), eV/atom: 0.334
ΔE to the lowest computed polymorph, eV/atom: 0.094
D(E_F), states/eV per atom: 0.09
Raw total energy, Ry per atom: -0.607
Crystal system: triclinic
SG: P1, No. 1

***

(4)
Nd2Dy3Y6Pu | PBE | relaxed

abc: 6.190 6.190 11.787
angles: 95.04 95.04 120.03
Each line ends with the local moment (μB).
Sites, in units of the cell vectors:
Y 0.413 0.083 0.251  0.02
Y 0.246 0.246 0.749  0.02
Y 0.083 0.413 0.251  0.02
Nd 0.333 0.667 0.000  0.03
Nd 0.667 0.333 0.000  0.03
Y 0.754 0.754 0.251  0.02
Dy 0.167 0.833 0.500  -0.04
Y 0.587 0.917 0.749  0.02
Pu 0.000 0.000 0.000  5.58
Y 0.917 0.587 0.749  0.02
Dy 0.500 0.500 0.500  -0.04
Dy 0.833 0.167 0.500  -0.04

Values from the calculation:
ΔH_f (0 K), eV/atom: 0.051
D(E_F), states/eV per atom: 2.12
Raw total energy, Ry per atom: -0.465
Crystal system: monoclinic
SG: C2/m, No. 12

***

(5)
SnIr2Os | PBE | relaxed

abc: 5.782 5.782 7.064
angles: 65.84 65.84 90.00
Sites, in units of the cell vectors:
Ir 0.375 0.339 0.750
Ir 0.089 0.625 0.250
Sn 0.500 0.500 0.000
Os 0.750 0.250 0.500
Ir 0.661 0.125 0.250
Sn 0.250 0.750 0.500
Ir 0.875 0.911 0.750
Os 0.000 0.000 0.000

Values from the calculation:
ΔH_f (0 K), eV/atom: 0.775
D(E_F), states/eV per atom: 0.68
Raw total energy, Ry per atom: -0.549
Crystal system: tetragonal
SG: I-42d, No. 122

***

(6)
NbCrRe2 | PBE | relaxed

abc: 7.079 7.079 5.635
angles: 51.09 51.09 90.00
Sites, in units of the cell vectors:
Re 0.593 0.125 0.250
Cr 0.500 0.500 0.000
Re 0.875 0.843 0.750
Cr 0.250 0.750 0.500
Nb 0.750 0.250 0.500
Re 0.375 0.407 0.750
Re 0.157 0.625 0.250
Nb 0.000 0.000 0.000

Values from the calculation:
ΔH_f (0 K), eV/atom: 0.721
D(E_F), states/eV per atom: 1.38
Raw total energy, Ry per atom: -0.766
Crystal system: tetragonal
SG: I-42d, No. 122

***

(7)
Y2HoErO6 | PBE | relaxed

abc: 5.795 5.795 6.060
angles: 61.43 61.43 60.00
Sites, in units of the cell vectors:
O 0.619 0.206 0.253
O 0.121 0.420 0.754
O 0.705 0.121 0.754
O 0.206 0.922 0.253
O 0.922 0.619 0.253
Er 0.309 0.309 0.072
Ho 0.809 0.809 0.574
O 0.420 0.705 0.754
Y 0.525 0.525 0.424
Y 0.025 0.025 0.925

Values from the calculation:
D(E_F), states/eV per atom: 0.00
Raw total energy, Ry per atom: -0.641
ΔE_f (raw), eV/f.u.: -35.4
Crystal system: trigonal
SG: R3, No. 146

***

(8)
Tl2MoBr | PBE | relaxed

abc: 3.643 4.394 7.415
angles: 90.00 90.00 90.00
Each line ends with the local moment (μB).
Sites, in units of the cell vectors:
Tl 0.500 0.500 0.263  0.07
Mo 0.500 0.500 0.859  2.63
Tl 0.000 0.000 0.907  -0.02
Br 0.000 0.000 0.472  0.07

Values from the calculation:
ΔE to the lowest computed polymorph, eV/atom: 0.311
D(E_F), states/eV per atom: 0.39
Raw total energy, Ry per atom: -0.274
ΔE_f (raw), eV/f.u.: 2.3
Crystal system: orthorhombic
SG: Pmm2, No. 25

***

Question: D(E_F) of number 6 (NbCrRe2)?
Answer: 1.38 states/eV per atom